# 1
First-principles (PBE) data for crystalline PmNp4S6 at its relaxed geometry, as listed in the Alexandria database.

```
data_PmNp4S6
_chemical_formula_sum 'Pm2 Np8 S12'
_space_group_name_H-M_alt 'P 1'
_space_group_IT_number 1
_cell_length_a 6.7211
_cell_length_b 6.7211
_cell_length_c 19.7963
_cell_angle_alpha 90.00
_cell_angle_beta 90.00
_cell_angle_gamma 146.51
loop_
_space_group_symop_operation_xyz
'x,y,z'
loop_
_atom_site_label
_atom_site_fract_x
_atom_site_fract_y
_atom_site_fract_z
Pm1 0.1569 0.8431 0.7500
Pm2 0.8431 0.1569 0.2500
Np1 0.0917 0.9083 0.1266
Np2 0.0917 0.9083 0.3734
Np3 0.3620 0.6380 0.0388
Np4 0.3620 0.6380 0.4612
Np5 0.6380 0.3620 0.5388
Np6 0.6380 0.3620 0.9612
Np7 0.9083 0.0917 0.6266
Np8 0.9083 0.0917 0.8734
S1 0.0000 0.0000 0.0000
S2 0.0000 0.0000 0.5000
S3 0.1838 0.8162 0.2500
S4 0.2677 0.7323 0.5898
S5 0.2677 0.7323 0.9102
S6 0.4520 0.5480 0.1668
S7 0.4520 0.5480 0.3332
S8 0.5480 0.4520 0.6668
S9 0.5480 0.4520 0.8332
S10 0.7323 0.2677 0.0898
S11 0.7323 0.2677 0.4102
S12 0.8162 0.1838 0.7500
```

Output
**Final energy**: -8.848 eV/atom
**V**: 493.4 Å³/cell
**Energy relative to the elements, uncorrected**: -16.05 eV per formula unit

***

# 2
First-principles (PBE) data for crystalline Pm3Np2S8 at its relaxed geometry, as listed in the Alexandria database.

```
data_Pm3Np2S8
_chemical_formula_sum 'Pm3 Np2 S8'
_space_group_name_H-M_alt 'P 1'
_space_group_IT_number 1
_cell_length_a 8.3224
_cell_length_b 8.3224
_cell_length_c 4.6755
_cell_angle_alpha 90.00
_cell_angle_beta 90.00
_cell_angle_gamma 108.67
loop_
_space_group_symop_operation_xyz
'x,y,z'
loop_
_atom_site_label
_atom_site_fract_x
_atom_site_fract_y
_atom_site_fract_z
Pm1 0.0000 0.0000 0.0000
Pm2 0.2847 0.2847 0.5000
Pm3 0.7153 0.7153 0.5000
Np1 0.2617 0.7383 0.0000
Np2 0.7383 0.2617 0.0000
S1 0.1156 0.3696 0.0000
S2 0.1234 0.8766 0.5000
S3 0.3681 0.6319 0.5000
S4 0.3696 0.1156 0.0000
S5 0.6304 0.8844 0.0000
S6 0.6319 0.3681 0.5000
S7 0.8766 0.1234 0.5000
S8 0.8844 0.6304 0.0000
```

Output
**Final energy**: -7.209 eV/atom
**V**: 306.8 Å³/cell
**Energy relative to the elements, uncorrected**: -20.57 eV per formula unit
**Relative energy among the computed polymorphs**: 0.0412 eV per atom

***

# 3
First-principles (PBE) data for crystalline Pm3NpS6 at its relaxed geometry, as listed in the Alexandria database.

```
data_Pm3NpS6
_chemical_formula_sum 'Pm6 Np2 S12'
_space_group_name_H-M_alt 'P 1'
_space_group_IT_number 1
_cell_length_a 11.2660
_cell_length_b 4.0446
_cell_length_c 11.4927
_cell_angle_alpha 90.00
_cell_angle_beta 108.07
_cell_angle_gamma 90.00
loop_
_space_group_symop_operation_xyz
'x,y,z'
loop_
_atom_site_label
_atom_site_fract_x
_atom_site_fract_y
_atom_site_fract_z
Pm1 0.0734 0.2500 0.1688
Pm2 0.1817 0.7500 0.5051
Pm3 0.3396 0.2500 0.9191
Pm4 0.6604 0.7500 0.0809
Pm5 0.8183 0.2500 0.4949
Pm6 0.9266 0.7500 0.8312
Np1 0.4547 0.2500 0.3134
Np2 0.5453 0.7500 0.6866
S1 0.0226 0.2500 0.3874
S2 0.0975 0.2500 0.9314
S3 0.2521 0.7500 0.2799
S4 0.3139 0.7500 0.7510
S5 0.3917 0.2500 0.5410
S6 0.4181 0.7500 0.1033
S7 0.5819 0.2500 0.8967
S8 0.6083 0.7500 0.4590
S9 0.6861 0.2500 0.2490
S10 0.7479 0.2500 0.7201
S11 0.9025 0.7500 0.0686
S12 0.9774 0.7500 0.6126
```

Output
**Final energy**: -7.052 eV/atom
**V**: 497.8 Å³/cell
**Energy relative to the elements, uncorrected**: -18.56 eV per formula unit

***

# 4
First-principles (PBE) data for crystalline PmNp2S4 at its relaxed geometry, as listed in the Alexandria database.

```
data_PmNp2S4
_chemical_formula_sum 'Pm2 Np4 S8'
_space_group_name_H-M_alt 'P 1'
_space_group_IT_number 1
_cell_length_a 6.7835
_cell_length_b 6.7835
_cell_length_c 13.1165
_cell_angle_alpha 90.00
_cell_angle_beta 90.00
_cell_angle_gamma 146.76
loop_
_space_group_symop_operation_xyz
'x,y,z'
loop_
_atom_site_label
_atom_site_fract_x
_atom_site_fract_y
_atom_site_fract_z
Pm1 0.1201 0.8799 0.7500
Pm2 0.8799 0.1201 0.2500
Np1 0.3672 0.6328 0.5661
Np2 0.3672 0.6328 0.9339
Np3 0.6328 0.3672 0.0661
Np4 0.6328 0.3672 0.4339
S1 0.0000 0.0000 0.0000
S2 0.0000 0.0000 0.5000
S3 0.2730 0.7270 0.1232
S4 0.2730 0.7270 0.3768
S5 0.4632 0.5368 0.7500
S6 0.5368 0.4632 0.2500
S7 0.7270 0.2730 0.6232
S8 0.7270 0.2730 0.8768
```

Output
**Final energy**: -8.318 eV/atom
**V**: 330.9 Å³/cell
**Energy relative to the elements, uncorrected**: -11.08 eV per formula unit

***

# 5
First-principles (PBE) data for crystalline PmNpS3 at its relaxed geometry, as listed in the Alexandria database.

```
data_PmNpS3
_chemical_formula_sum 'Pm4 Np4 S12'
_space_group_name_H-M_alt 'P 1'
_space_group_IT_number 1
_cell_length_a 7.3674
_cell_length_b 3.9654
_cell_length_c 15.3613
_cell_angle_alpha 90.00
_cell_angle_beta 90.00
_cell_angle_gamma 90.00
loop_
_space_group_symop_operation_xyz
'x,y,z'
loop_
_atom_site_label
_atom_site_fract_x
_atom_site_fract_y
_atom_site_fract_z
Pm1 0.1291 0.2500 0.2058
Pm2 0.3709 0.7500 0.7058
Pm3 0.6291 0.2500 0.2942
Pm4 0.8709 0.7500 0.7942
Np1 0.2376 0.7500 0.4609
Np2 0.2624 0.2500 0.9609
Np3 0.7376 0.7500 0.0391
Np4 0.7624 0.2500 0.5391
S1 0.0125 0.2500 0.3970
S2 0.1271 0.7500 0.0670
S3 0.1554 0.2500 0.7832
S4 0.3446 0.7500 0.2832
S5 0.3729 0.2500 0.5670
S6 0.4875 0.7500 0.8970
S7 0.5125 0.2500 0.1030
S8 0.6271 0.7500 0.4330
S9 0.6554 0.2500 0.7168
S10 0.8446 0.7500 0.2168
S11 0.8729 0.2500 0.9330
S12 0.9875 0.7500 0.6030
```

Output
**Final energy**: -7.750 eV/atom
**V**: 448.8 Å³/cell
**Energy relative to the elements, uncorrected**: -8.67 eV per formula unit
**Relative energy among the computed polymorphs**: 0.0000 eV per atom

***

# 6
First-principles (PBE) data for crystalline PmNp2S6 at its relaxed geometry, as listed in the Alexandria database.

```
data_PmNp2S6
_chemical_formula_sum 'Pm1 Np2 S6'
_space_group_name_H-M_alt 'P 1'
_space_group_IT_number 1
_cell_length_a 7.1746
_cell_length_b 7.1746
_cell_length_c 8.9107
_cell_angle_alpha 124.19
_cell_angle_beta 124.19
_cell_angle_gamma 41.77
loop_
_space_group_symop_operation_xyz
'x,y,z'
loop_
_atom_site_label
_atom_site_fract_x
_atom_site_fract_y
_atom_site_fract_z
Pm1 0.0000 0.0000 0.0000
Np1 0.1813 0.1813 0.6037
Np2 0.8187 0.8187 0.3963
S1 0.0390 0.0390 0.7180
S2 0.2606 0.2606 0.3833
S3 0.3664 0.3664 0.9414
S4 0.6336 0.6336 0.0586
S5 0.7394 0.7394 0.6167
S6 0.9610 0.9610 0.2820
```

Output
**Final energy**: -7.474 eV/atom
**V**: 244.1 Å³/cell
**Energy relative to the elements, uncorrected**: -11.87 eV per formula unit

***

# 7
First-principles (PBE) data for crystalline PmNpS3 at its relaxed geometry, as listed in the Alexandria database.

```
data_PmNpS3
_chemical_formula_sum 'Pm2 Np2 S6'
_space_group_name_H-M_alt 'P 1'
_space_group_IT_number 1
_cell_length_a 7.2033
_cell_length_b 7.2033
_cell_length_c 7.2033
_cell_angle_alpha 135.65
_cell_angle_beta 88.39
_cell_angle_gamma 108.24
loop_
_space_group_symop_operation_xyz
'x,y,z'
loop_
_atom_site_label
_atom_site_fract_x
_atom_site_fract_y
_atom_site_fract_z
Pm1 0.0000 0.0000 0.0000
Pm2 0.5000 0.0000 0.5000
Np1 0.3045 0.5545 0.7500
Np2 0.6955 0.4455 0.2500
S1 0.1039 0.6588 0.4450
S2 0.2862 0.3412 0.9450
S3 0.3598 0.1098 0.2500
S4 0.6402 0.8902 0.7500
S5 0.7138 0.6588 0.0550
S6 0.8961 0.3412 0.5550
```

Output
**Final energy**: -7.478 eV/atom
**V**: 237.1 Å³/cell
**Energy relative to the elements, uncorrected**: -7.32 eV per formula unit
**Relative energy among the computed polymorphs**: 0.2712 eV per atom

***

# 8
First-principles (PBE) data for crystalline Pm4Np3S8 at its relaxed geometry, as listed in the Alexandria database.

```
data_Pm4Np3S8
_chemical_formula_sum 'Pm4 Np3 S8'
_space_group_name_H-M_alt 'P 1'
_space_group_IT_number 1
_cell_length_a 7.9529
_cell_length_b 7.9529
_cell_length_c 7.9475
_cell_angle_alpha 119.95
_cell_angle_beta 119.95
_cell_angle_gamma 90.01
loop_
_space_group_symop_operation_xyz
'x,y,z'
loop_
_atom_site_label
_atom_site_fract_x
_atom_site_fract_y
_atom_site_fract_z
Pm1 0.0000 0.0000 0.0000
Pm2 0.0000 0.5000 0.0000
Pm3 0.5000 0.0000 0.0000
Pm4 0.5000 0.5000 0.5000
Np1 0.0000 0.0000 0.5000
Np2 0.0000 0.5000 0.5000
Np3 0.5000 0.0000 0.5000
S1 0.2463 0.7537 0.5000
S2 0.2483 0.2483 0.5040
S3 0.2499 0.2499 0.9957
S4 0.2521 0.7479 0.0000
S5 0.7479 0.2521 0.0000
S6 0.7501 0.7501 0.0043
S7 0.7517 0.7517 0.4960
S8 0.7537 0.2463 0.5000
```

Output
**Final energy**: -7.814 eV/atom
**V**: 355.9 Å³/cell
**Energy relative to the elements, uncorrected**: -26.37 eV per formula unit

***

| no. | magnetization (μB per formula unit) |
| --- | --- |
| 1 | 0.05 |
| 2 | 7.00 |
| 3 | 4.00 |
| 4 | 8.64 |
| 5 | 3.92 |
| 6 | 5.00 |
| 7 | 3.87 |
| 8 | 13.33 |